# 1
This record from Alexandria describes crystalline Tb2Pm6Tm3Mg at its relaxed geometry. The functional is PBE.

Values from the calculation:
N(E_F), states/eV per cell: 25.07
Energy of formation from the pure elements, meV per atom: 19.5
Total DFT energy (no corrections), eV per formula unit: -52.54

a = 6.1845 Å, b = 10.7206 Å, c = 11.7226 Å
α = 90.00°, β = 100.16°, γ = 90.00°
With the nearest neighbours (Å) after each atom.
Space group C2/m (No. 12)
One atom of each set of equivalent atoms:
Tb 0.0000 0.1667 0.0000 x4  6 Pm 3.55-3.56, 3 Tb 3.57, 3 Mg 3.57
Pm 0.2492 0.3339 0.2509 x8  3 Tm 3.53-3.54, 1 Mg 3.55, 2 Tb 3.55-3.56, 6 Pm 3.56-3.58
Pm 0.2493 0.5000 0.7483 x4  3 Tm 3.53, 6 Pm 3.56-3.58, 1 Mg 3.56, 2 Tb 3.56
Tm 0.0000 0.0000 0.5000 x2  6 Pm 3.53-3.54, 6 Tm 3.57-3.58
Tm 0.0000 0.3337 0.5000 x4  6 Pm 3.53-3.54, 6 Tm 3.57-3.58
Mg 0.0000 0.5000 0.0000 x2  6 Pm 3.55-3.56, 6 Tb 3.57

# 2
This record from Alexandria describes crystalline LiTa2Si at its relaxed geometry. The functional is PBE.

Values from the calculation:
N(E_F), states/eV per cell: 2.47
Total DFT energy (no corrections), eV per formula unit: -30.74

a = 2.8790 Å, b = 3.7291 Å, c = 6.0137 Å
α = 90.00°, β = 90.00°, γ = 90.00°
With the nearest neighbours (Å) after each atom.
Space group Pmm2 (No. 25)
One atom of each set of equivalent atoms:
Li 0.0000 0.0000 0.0000 x1  4 Si 2.66, 5 Ta 2.75-2.87, 2 Li 2.88
Ta 0.0000 0.0000 0.4572 x1  1 Li 2.75, 4 Si 2.80, 6 Ta 2.86-2.88
Ta 0.5000 0.5000 0.7269 x1  6 Ta 2.86-2.88, 4 Li 2.87, 2 Si 2.88-3.14
Si 0.5000 0.5000 0.2052 x1  4 Li 2.66, 5 Ta 2.80-2.88, 2 Si 2.88

# 3
This record from Alexandria describes crystalline LiBeMo at its relaxed geometry. The functional is PBE.

Values from the calculation:
N(E_F), states/eV per cell: 1.29
Energy of formation from the pure elements, meV per atom: 418.7
Total DFT energy (no corrections), eV per formula unit: -15.22

a = 4.1491 Å, b = 4.1491 Å, c = 2.4757 Å
α = 90.00°, β = 90.00°, γ = 120.00°
With the nearest neighbours (Å) after each atom.
Space group P3m1 (No. 156)
One atom of each set of equivalent atoms:
Li 0.0000 0.0000 0.0000 x1  3 Be 2.40, 2 Li 2.48
Be 0.3333 0.6667 0.0041 x1  3 Li 2.40, 2 Be 2.48
Mo 0.6667 0.3333 0.5022 x1  2 Mo 2.48, 6 Li 2.69-2.70, 6 Be 2.69-2.70

# 4
This record from Alexandria describes crystalline K4PrNd3Se8 at its relaxed geometry. The functional is PBE.

Values from the calculation:
N(E_F), states/eV per cell: 0.00
Total DFT energy (no corrections), eV per formula unit: -79.40

a = 8.7149 Å, b = 8.7149 Å, c = 23.1322 Å
α = 90.00°, β = 90.00°, γ = 120.00°
With the nearest neighbours (Å) after each atom.
Space group R-3m (No. 166, hexagonal axes)
One atom of each set of equivalent atoms:
K 0.0000 0.0000 0.0000 x3  6 Se 3.35
K 0.0000 0.5000 0.0000 x9  6 Se 3.36
Pr 0.0000 0.0000 0.5000 x3  6 Se 3.01
Nd 0.0000 0.5000 0.5000 x9  6 Se 2.99-3.00
Se 0.0000 0.0000 0.2369 x6  3 Nd 3.00
Se 0.0015 0.5007 0.7628 x18  2 Nd 2.99, 1 Pr 3.01, 1 K 3.35

# 5
This record from Alexandria describes crystalline YUSeS2 at its relaxed geometry. The functional is PBE.

Values from the calculation:
N(E_F), states/eV per cell: 19.25
Total DFT energy (no corrections), eV per formula unit: -35.53

a = 4.3400 Å, b = 4.3400 Å, c = 13.2260 Å
α = 90.00°, β = 90.00°, γ = 90.00°
With the nearest neighbours (Å) after each atom.
Space group I4mm (No. 107)
One atom of each set of equivalent atoms:
Y 0.0000 0.0000 0.0000 x2  4 S 2.67
U 0.0000 0.0000 0.2631 x2  4 S 2.68
Se 0.0000 0.0000 0.6366 x2  4 U 3.50, 4 Y 3.56, 4 S 3.91
S 0.0000 0.5000 0.3824 x4  2 Y 2.67, 2 U 2.68

# 6
This record from Alexandria describes crystalline Sr2Zn2InPd5 at its relaxed geometry. The functional is PBE.

Values from the calculation:
N(E_F), states/eV per cell: 7.67
Energy of formation from the pure elements, meV per atom: -585.7
Total DFT energy (no corrections), eV per formula unit: -40.47

a = 10.2080 Å, b = 10.2080 Å, c = 3.7238 Å
α = 90.00°, β = 90.00°, γ = 90.00°
With the nearest neighbours (Å) after each atom.
Space group P4/mbm (No. 127)
One atom of each set of equivalent atoms:
Sr 0.1769 0.3231 0.0000 x4  3 Zn 2.91-3.10, 2 Pd 3.16
Zn 0.1216 0.6216 0.0000 x4  6 Pd 2.56-2.62
In 0.0000 0.0000 0.0000 x2  8 Pd 2.89
Pd 0.0000 0.5000 0.5000 x2  4 Zn 2.56
Pd 0.0629 0.7922 0.5000 x8  2 Zn 2.62, 2 In 2.89

# 7
This record from Alexandria describes crystalline CaSmCdGe at its relaxed geometry. The functional is PBE.

Values from the calculation:
N(E_F), states/eV per cell: 15.25
Energy of formation from the pure elements, meV per atom: -456.6
Total DFT energy (no corrections), eV per formula unit: -14.08

a = 7.4362 Å, b = 7.4362 Å, c = 7.4362 Å
α = 90.00°, β = 90.00°, γ = 90.00°
With the nearest neighbours (Å) after each atom.
Space group F-43m (No. 216)
One atom of each set of equivalent atoms:
Ca 0.0000 0.0000 0.0000 x4  4 Ge 3.22, 4 Cd 3.22
Sm 0.0000 0.0000 0.5000 x4  4 Ge 3.22, 4 Cd 3.22
Cd 0.2500 0.2500 0.2500 x4  4 Ca 3.22, 4 Sm 3.22
Ge 0.2500 0.2500 0.7500 x4  4 Ca 3.22, 4 Sm 3.22

# 8
This record from Alexandria describes crystalline Tm6CoRu2 at its relaxed geometry. The functional is PBE.

Values from the calculation:
N(E_F), states/eV per cell: 10.55
Energy of formation from the pure elements, meV per atom: -314.8
Total DFT energy (no corrections), eV per formula unit: -55.32

a = 6.3418 Å, b = 7.2908 Å, c = 11.0281 Å
α = 90.00°, β = 123.39°, γ = 90.00°
With the nearest neighbours (Å) after each atom.
Space group P2_1/c (No. 14)
One atom of each set of equivalent atoms:
Tm 0.0923 0.0417 0.2435 x4  1 Co 2.59, 2 Ru 2.74-2.75
Tm 0.2223 0.6705 0.0661 x4  1 Co 2.57
Tm 0.4029 0.1784 0.0670 x4  1 Co 2.63, 1 Ru 2.81
Co 0.5000 0.0000 0.5000 x2  6 Tm 2.57-2.63
Ru 0.3073 0.1235 0.7663 x4  7 Tm 2.74-3.05

# 9
This record from Alexandria describes crystalline CaSmEuGa at its relaxed geometry. The functional is PBE.

Values from the calculation:
N(E_F), states/eV per cell: 33.29
Energy of formation from the pure elements, meV per atom: -98.0
Total DFT energy (no corrections), eV per formula unit: -20.41

a = 7.8045 Å, b = 7.8045 Å, c = 7.8045 Å
α = 90.00°, β = 90.00°, γ = 90.00°
With the nearest neighbours (Å) after each atom.
Space group F-43m (No. 216)
One atom of each set of equivalent atoms:
Ca 0.0000 0.0000 0.0000 x4  4 Sm 3.38, 4 Eu 3.38
Sm 0.2500 0.2500 0.7500 x4  4 Ca 3.38, 4 Ga 3.38
Eu 0.2500 0.2500 0.2500 x4  4 Ca 3.38, 4 Ga 3.38
Ga 0.0000 0.0000 0.5000 x4  4 Sm 3.38, 4 Eu 3.38

# 10
This record from Alexandria describes crystalline KLaCo3 at its relaxed geometry. The functional is PBE.

Values from the calculation:
N(E_F), states/eV per cell: 1.54
Energy of formation from the pure elements, meV per atom: 1418.3
Total DFT energy (no corrections), eV per formula unit: -20.25

a = 4.8319 Å, b = 4.8319 Å, c = 4.8319 Å
α = 90.00°, β = 90.00°, γ = 90.00°
With the nearest neighbours (Å) after each atom.
Space group Pm-3m (No. 221)
One atom of each set of equivalent atoms:
K 0.0000 0.0000 0.0000 x1  12 Co 3.42
La 0.5000 0.5000 0.5000 x1  6 Co 2.42
Co 0.0000 0.5000 0.5000 x3  2 La 2.42

# 11
This record from Alexandria describes crystalline KTe2F at its relaxed geometry. The functional is PBE.

Values from the calculation:
N(E_F), states/eV per cell: 5.53
Total DFT energy (no corrections), eV per formula unit: -13.71

a = 4.1669 Å, b = 4.1669 Å, c = 29.3405 Å
α = 90.00°, β = 90.00°, γ = 90.00°
With the nearest neighbours (Å) after each atom.
Space group I-42d (No. 122)
One atom of each set of equivalent atoms:
K 0.0000 0.0000 0.0000 x4  4 F 2.95
Te 0.2492 0.2500 0.6250 x8  4 Te 2.94-2.95
F 0.0000 0.0000 0.5000 x4  4 K 2.95

# 12
This record from Alexandria describes crystalline MgSbCl2 at its relaxed geometry. The functional is PBE.

Values from the calculation:
N(E_F), states/eV per cell: 1.18
Total DFT energy (no corrections), eV per formula unit: -11.65

a = 3.3575 Å, b = 4.6067 Å, c = 5.9089 Å
α = 90.00°, β = 90.00°, γ = 90.00°
With the nearest neighbours (Å) after each atom.
Space group Pmmm (No. 47)
One atom of each set of equivalent atoms:
Mg 0.0000 0.0000 0.0000 x1  4 Cl 2.85
Sb 0.5000 0.0000 0.5000 x1  4 Cl 2.85
Cl 0.0000 0.5000 0.5000 x1  4 Sb 2.85
Cl 0.5000 0.5000 0.0000 x1  4 Mg 2.85